A relaxed structure of Zr2VAu, computed with PBE-GGA.

Lattice parameters (Å, degrees): 3.3393 3.3393 6.8800 90.00 90.00 90.00
With the nearest neighbours (Å) after each atom.
Space group P4/mmm (No. 123)
Asymmetric unit:
Zr 0.0000 0.0000 0.2326  4 V 2.85, 4 Au 2.99
V 0.5000 0.5000 0.0000  8 Zr 2.85
Au 0.5000 0.5000 0.5000  8 Zr 2.99, 4 Au 3.34

Computed properties:
**Relative energy among the computed polymorphs**: 0 meV per atom
**DFT formation energy**: -0.21 eV/atom



A relaxed structure of Th2GaIr3, computed with PBE-GGA.

Lattice parameters (Å, degrees): 5.6860 5.6860 12.3793 90.00 90.00 120.00
With the nearest neighbours (Å) after each atom.
Space group R-3m (No. 166, hexagonal axes)
Asymmetric unit:
Th 0.0000 0.0000 0.1255  9 Ir 3.05-3.24, 1 Th 3.11, 3 Ga 3.32
Ga 0.0000 0.0000 0.5000  6 Ir 2.64
Ir 0.0000 0.5000 0.0000  2 Ga 2.64, 4 Ir 2.84

Computed properties:
**DFT formation energy**: -0.83 eV/atom



A relaxed structure of Cd2SiSe, computed with PBE-GGA.

Lattice parameters (Å, degrees): 13.2365 2.9876 4.6680 90.00 103.92 90.00
With the nearest neighbours (Å) after each atom.
Space group C2/m (No. 12)
Asymmetric unit:
Cd 0.1935 0.0000 0.2160  2 Si 2.93, 6 Cd 2.99-3.16, 1 Se 3.15
Si 0.0000 0.5000 0.0000  4 Se 2.77, 4 Cd 2.93, 2 Si 2.99
Se 0.0000 0.0000 0.5000  4 Si 2.77, 2 Se 2.99

Computed properties:
**Relative energy among the computed polymorphs**: 154 meV per atom
**Uncorrected formation energy**: 231 meV/atom



A relaxed structure of Rb3Au2F, computed with PBE-GGA.

Lattice parameters (Å, degrees): 13.7805 4.7287 14.4579 90.00 90.00 90.00
With the nearest neighbours (Å) after each atom.
Space group Pnma (No. 62)
Asymmetric unit:
Rb 0.0645 0.2500 0.1466  1 F 2.65
Rb 0.1420 0.7500 0.5561  1 F 2.63
Rb 0.2239 0.2500 0.7918  2 F 2.71
Au 0.0120 0.7500 0.3318  7 Rb 3.57-3.71
Au 0.1657 0.7500 0.9823  7 Rb 3.63-3.72
F 0.2472 0.2500 0.2042  4 Rb 2.63-2.71

Computed properties:
**Uncorrected formation energy**: -1035 meV/atom



A relaxed structure of NbGaAs2Br, computed with PBE-GGA.

Lattice parameters (Å, degrees): 4.8206 4.8206 5.1271 90.00 90.00 90.00
With the nearest neighbours (Å) after each atom.
Space group P4/mmm (No. 123)
Asymmetric unit:
Nb 0.0000 0.0000 0.0000  4 Br 3.41, 8 As 3.52
Ga 0.5000 0.5000 0.5000  4 As 2.41, 2 Br 2.56
As 0.0000 0.5000 0.5000  2 Ga 2.41
Br 0.5000 0.5000 0.0000  2 Ga 2.56

Computed properties:
**Relative energy among the computed polymorphs**: 771 meV per atom
**Uncorrected formation energy**: 831 meV/atom



A relaxed structure of Pm12Zn5Ru3, computed with PBE-GGA.

Lattice parameters (Å, degrees): 17.0071 17.0071 17.0071 90.00 90.00 90.00
With the nearest neighbours (Å) after each atom.
Space group Ia-3d (No. 230)
Asymmetric unit:
Pm 0.0195 0.0820 0.6498  2 Zn 2.84-2.92, 1 Ru 2.91
Zn 0.0000 0.0000 0.0000  6 Pm 2.92
Zn 0.0000 0.2500 0.3750  4 Pm 2.84
Ru 0.0000 0.2500 0.1250  4 Pm 2.91

Computed properties:
**DFT formation energy**: 0.20 eV/atom



no.,theoretical density (Mg/m³)
1,9.32
2,15.96
3,6.15
4,4.72
5,5.47
6,6.40